First-principles (PBE-GGA) data for a relaxed structure of CaHgWC2, as listed in Alexandria via LeMat-Bulk.

```
CaHgWC2
1.0
4.251 0.000 0.000
0.000 4.251 0.000
0.000 0.000 5.207
Ca Hg W C
1 1 1 2
Direct
0.000 0.000 0.000
0.000 0.000 0.500
0.500 0.500 0.500
0.000 0.500 0.000
0.500 0.000 0.000
```

Calculated values
SG: No. 123
Raw total energy in eV per atom: -3.593